Computed, not measured: a relaxed TmZn6Cu12 crystal at the PBE level of DFT.

CIF file:
```
data_TmZn6Cu12
_cell_length_a 6.7564
_cell_length_b 6.7564
_cell_length_c 6.7564
_cell_angle_alpha 103.42
_cell_angle_beta 103.42
_cell_angle_gamma 103.42
_space_group_name_H-M_alt 'P 1'
_space_group_IT_number 1
_space_group_name_Hall 'P 1'
loop_
_atom_site_label
_atom_site_type_symbol
_atom_site_fract_x
_atom_site_fract_y
_atom_site_fract_z
_atom_site_occupancy
Cu1 Cu 0.3666 0.1144 0.3666 1
Zn1 Zn 0.2884 0.6975 0.2884 1
Zn2 Zn 0.3025 0.7116 0.7116 1
Cu2 Cu 0.1144 0.3666 0.3666 1
Cu3 Cu 0.3666 0.3666 0.1144 1
Zn3 Zn 0.7116 0.7116 0.3025 1
Cu4 Cu 0.8856 0.6334 0.6334 1
Cu5 Cu 0.5000 0.8896 0.1104 1
Cu6 Cu 0.6334 0.8856 0.6334 1
Cu7 Cu 0.8896 0.1104 0.5000 1
Zn4 Zn 0.2884 0.2884 0.6975 1
Cu8 Cu 0.8896 0.5000 0.1104 1
Cu9 Cu 0.1104 0.8896 0.5000 1
Zn5 Zn 0.7116 0.3025 0.7116 1
Zn6 Zn 0.6975 0.2884 0.2884 1
Cu10 Cu 0.5000 0.1104 0.8896 1
Cu11 Cu 0.6334 0.6334 0.8856 1
Cu12 Cu 0.1104 0.5000 0.8896 1
Tm1 Tm 0.0000 0.0000 0.0000 1
```

Values from the calculation:
SG: No. 166
Magnetic moment, μB/f.u.: 0.00
Calculated total energy, eV/atom: -3.179